The following is a DFT calculation (GGA-PBE) of crystalline Ac2Al4Ag3Pt at its relaxed geometry.

abc: 4.5399 4.5399 10.7888
angles: 90.00 90.00 90.00
Space group P-4m2 (No. 115)
Unique sites:
Ac 0.0000 0.5000 0.2428 (multiplicity 2)
Al 0.0000 0.0000 0.5000 (multiplicity 1)
Al 0.0000 0.5000 0.8835 (multiplicity 2)
Al 0.5000 0.5000 0.5000 (multiplicity 1)
Ag 0.0000 0.0000 0.0000 (multiplicity 1)
Ag 0.0000 0.5000 0.6343 (multiplicity 2)
Pt 0.5000 0.5000 0.0000 (multiplicity 1)

Fermi-level density of states ... 6.71 states/eV/cell
Mass density ... 8.070 g cm⁻³
Formation energy ... -497.9 meV per atom